{
  "formula": "Ca3Tb2Cd3",
  "functional": "PBE-GGA",
  "state": "relaxed",
  "crystal_system": "orthorhombic",
  "final_energy_ev_per_atom": -2.493,
  "mass_density_g_cm3": 5.45,
  "delta_e_f_ev_per_atom": -0.24,
  "lattice_angstrom": [[-2.204, 1.482, 2.694], [0.518, -4.601, 2.955], [10.021, 5.888, 2.304]],
  "species": ["Ca", "Ca", "Ca", "Cd", "Cd", "Cd", "Tb", "Tb"],
  "fractional_positions": [[0.621, 0.621, 0.242], [0.379, 0.379, 0.758], [0.500, 0.000, 0.000], [0.879, 0.879, 0.759], [0.000, 0.500, 0.000], [0.121, 0.121, 0.241], [0.733, 0.233, 0.466], [0.267, 0.767, 0.534]]
}

{
  "formula": "CaTb2Cd",
  "functional": "PBE-GGA",
  "state": "relaxed",
  "crystal_system": "trigonal",
  "final_energy_ev_per_atom": -2.919,
  "de_polymorph_ev_per_atom": 0.196,
  "mass_density_g_cm3": 5.96,
  "delta_e_f_ev_per_atom": 0.13,
  "lattice_angstrom": [[3.557, 0.000, 0.000], [1.778, 3.080, 0.000], [1.778, 1.027, 11.964]],
  "species": ["Tb", "Tb", "Ca", "Cd"],
  "fractional_positions": [[0.097, 0.097, 0.710], [0.903, 0.903, 0.290], [0.000, 0.000, 0.000], [0.500, 0.500, 0.500]]
}

{
  "formula": "CaTb5Cd4",
  "functional": "PBE-GGA",
  "state": "relaxed",
  "crystal_system": "tetragonal",
  "final_energy_ev_per_atom": -3.100,
  "mass_density_g_cm3": 7.43,
  "delta_e_f_ev_per_atom": -0.22,
  "lattice_angstrom": [[-0.469, 3.188, -1.960], [-3.635, 0.083, 1.004], [4.772, 10.774, 16.382]],
  "species": ["Cd", "Cd", "Cd", "Cd", "Tb", "Tb", "Tb", "Tb", "Tb", "Ca"],
  "fractional_positions": [[0.000, 0.000, 0.407], [0.000, 0.000, 0.593], [0.000, 0.000, 0.222], [0.000, 0.000, 0.778], [0.500, 0.500, 0.133], [0.500, 0.500, 0.685], [0.500, 0.500, 0.315], [0.500, 0.500, 0.500], [0.500, 0.500, 0.867], [0.000, 0.000, 0.000]]
}

{
  "formula": "Ca2TbCd6",
  "functional": "PBE-GGA",
  "state": "relaxed",
  "crystal_system": "hexagonal",
  "final_energy_ev_per_atom": -1.896,
  "mass_density_g_cm3": 6.59,
  "delta_e_f_ev_per_atom": -0.33,
  "lattice_angstrom": [[3.527, 0.000, 0.000], [0.000, 7.521, -4.342], [0.000, 0.000, 8.684]],
  "species": ["Cd", "Cd", "Cd", "Cd", "Cd", "Cd", "Ca", "Ca", "Tb"],
  "fractional_positions": [[0.500, 0.000, 0.333], [0.500, 0.000, 0.667], [0.500, 0.667, 0.000], [0.500, 0.333, 0.000], [0.500, 0.667, 0.667], [0.500, 0.333, 0.333], [0.000, 0.667, 0.333], [0.000, 0.333, 0.667], [0.000, 0.000, 0.000]]
}